1.
! Ce7Cd2Os2, optimized geometry, DFT GGA-PBE; values from VASP
! * E_form: -0.105 eV/atom
! * total magnetic moment: 0.330 μB/atom
&SYSTEM
  ibrav = 0, nat = 11, ntyp = 3
/
ATOMIC_SPECIES
Ce 140.12 Ce.upf
Cd 112.41 Cd.upf
Os 190.23 Os.upf
ATOMIC_POSITIONS crystal
Ce 0.0000 0.0000 0.0000
Ce 0.2537 0.4135 0.8402
Ce 0.3161 0.6436 0.6725
Ce 0.5733 0.4135 0.1598
Ce 0.5884 0.2388 0.3496
Ce 0.8892 0.2388 0.6504
Ce 0.9711 0.6436 0.3275
Cd 0.3235 0.8235 0.5000
Cd 0.6205 0.6205 0.0000
Os 0.1355 0.9323 0.2032
Os 0.7291 0.9323 0.7968
CELL_PARAMETERS angstrom
-1.8662 8.2639 4.6964
1.8662 -8.2639 4.6964
1.8662 8.2639 -4.6964


2.
! CeCdOs, optimized geometry, DFT GGA-PBE; values from VASP
! * E_form: -0.188 eV/atom
! * energy relative to the lowest polymorph listed for this composition: 0.000 eV/atom
! * total magnetic moment: 0.000 μB/atom
&SYSTEM
  ibrav = 0, nat = 12, ntyp = 3
/
ATOMIC_SPECIES
Ce 140.12 Ce.upf
Cd 112.41 Cd.upf
Os 190.23 Os.upf
ATOMIC_POSITIONS crystal
Ce 0.0000 0.0911 0.2500
Ce 0.0000 0.9089 0.7500
Ce 0.5000 0.4089 0.7500
Ce 0.5000 0.5911 0.2500
Cd 0.0000 0.2886 0.2500
Cd 0.0000 0.7114 0.7500
Cd 0.5000 0.2114 0.7500
Cd 0.5000 0.7886 0.2500
Os 0.0000 0.4459 0.2500
Os 0.0000 0.5541 0.7500
Os 0.5000 0.0541 0.7500
Os 0.5000 0.9459 0.2500
CELL_PARAMETERS angstrom
3.8618 0.0000 0.0000
0.0000 17.9910 0.0000
0.0000 0.0000 3.8639


3.
! Ce4CdOs2, optimized geometry, DFT GGA-PBE; values from VASP
! * E_form: -0.134 eV/atom
! * total magnetic moment: 0.103 μB/atom
&SYSTEM
  ibrav = 0, nat = 14, ntyp = 3
/
ATOMIC_SPECIES
Ce 140.12 Ce.upf
Cd 112.41 Cd.upf
Os 190.23 Os.upf
ATOMIC_POSITIONS crystal
Ce 0.0000 0.0000 0.0000
Ce 0.0056 0.6018 0.2310
Ce 0.2325 0.3593 0.8459
Ce 0.3165 0.1188 0.4006
Ce 0.4420 0.7427 0.7113
Ce 0.5986 0.1226 0.1695
Ce 0.8056 0.9867 0.4374
Ce 0.9076 0.6010 0.6909
Cd 0.4728 0.5261 0.2954
Cd 0.6671 0.2471 0.8161
Os 0.0620 0.3535 0.4222
Os 0.1876 0.9734 0.6673
Os 0.3038 0.7475 0.0731
Os 0.6699 0.6836 0.9994
CELL_PARAMETERS angstrom
7.0343 0.0000 0.0000
-1.9248 7.0766 0.0000
-1.8942 -3.0214 6.8153


4.
! CeCdOs, optimized geometry, DFT GGA-PBE; values from VASP
! * E_form: -0.108 eV/atom
! * energy relative to the lowest polymorph listed for this composition: 0.080 eV/atom
! * total magnetic moment: 0.000 μB/atom
&SYSTEM
  ibrav = 0, nat = 12, ntyp = 3
/
ATOMIC_SPECIES
Ce 140.12 Ce.upf
Cd 112.41 Cd.upf
Os 190.23 Os.upf
ATOMIC_POSITIONS crystal
Ce 0.0808 0.0000 0.3320
Ce 0.4192 0.5000 0.6680
Ce 0.5808 0.5000 0.3320
Ce 0.9192 0.0000 0.6680
Cd 0.1693 0.5000 0.0545
Cd 0.3307 0.0000 0.9455
Cd 0.6693 0.0000 0.0545
Cd 0.8307 0.5000 0.9455
Os 0.1444 0.5000 0.6601
Os 0.3556 0.0000 0.3399
Os 0.6444 0.0000 0.6601
Os 0.8556 0.5000 0.3399
CELL_PARAMETERS angstrom
9.3773 0.0000 0.0000
0.0000 4.0536 0.0000
-3.7864 0.0000 6.9632


5.
! Ce6CdOs2, optimized geometry, DFT GGA-PBE; values from VASP
! * E_form: -0.185 eV/atom
! * total magnetic moment: 0.080 μB/atom
&SYSTEM
  ibrav = 0, nat = 9, ntyp = 3
/
ATOMIC_SPECIES
Ce 140.12 Ce.upf
Cd 112.41 Cd.upf
Os 190.23 Os.upf
ATOMIC_POSITIONS crystal
Ce 0.0592 0.0592 0.3638
Ce 0.2973 0.2973 0.9015
Ce 0.3923 0.3923 0.3270
Ce 0.6077 0.6077 0.6730
Ce 0.7027 0.7027 0.0985
Ce 0.9408 0.9408 0.6362
Cd 0.0000 0.0000 0.0000
Os 0.2672 0.2672 0.6156
Os 0.7328 0.7328 0.3844
CELL_PARAMETERS angstrom
5.1869 -2.4150 0.0000
5.1869 2.4150 0.0000
-0.7931 0.0000 8.8463


6.
! Ce3CdOs, optimized geometry, DFT GGA-PBE; values from VASP
! * E_form: -0.147 eV/atom
! * energy relative to the lowest polymorph listed for this composition: 0.000 eV/atom
! * total magnetic moment: 0.245 μB/atom
&SYSTEM
  ibrav = 0, nat = 10, ntyp = 3
/
ATOMIC_SPECIES
Ce 140.12 Ce.upf
Cd 112.41 Cd.upf
Os 190.23 Os.upf
ATOMIC_POSITIONS crystal
Ce 0.0520 0.2500 0.1784
Ce 0.3340 0.2500 0.8594
Ce 0.4342 0.2500 0.3532
Ce 0.5658 0.7500 0.6468
Ce 0.6660 0.7500 0.1406
Ce 0.9480 0.7500 0.8216
Cd 0.1549 0.7500 0.5187
Cd 0.8451 0.2500 0.4813
Os 0.2732 0.7500 0.0792
Os 0.7268 0.2500 0.9208
CELL_PARAMETERS angstrom
8.0532 0.0000 0.0000
0.0000 3.7603 0.0000
-1.7235 0.0000 8.3196